No. 1
Sr2CrHgN: optimized geometry, PBE.

abc: 5.5645 5.5645 3.8197
angles: 90.00 90.00 90.00
With the nearest neighbours (Å) after each atom.
Positions (direct):
1 Hg 0.5000 0.5000 0.5000  8 Sr 3.37
2 Sr 0.5000 0.0000 0.0000  2 N 2.78
3 Sr 0.0000 0.5000 0.0000  2 N 2.78
4 Cr 0.0000 0.0000 0.5000  2 N 1.91
5 N 0.0000 0.0000 0.0000  2 Cr 1.91

Output
SG = P4/mmm, No. 123
Raw total energy = -23.83 eV per formula unit

No. 2
Cr2HgWN: optimized geometry, PBE.

abc: 3.8359 4.7661 3.8359
angles: 90.00 90.00 90.00
With the nearest neighbours (Å) after each atom.
Positions (direct):
1 Hg 0.0000 0.5000 0.0000  2 N 2.38
2 W 0.5000 0.5000 0.5000  4 Hg 2.71
3 N 0.0000 0.0000 0.0000  4 Cr 1.92
4 Cr 0.5000 0.0000 0.0000  2 N 1.92
5 Cr 0.0000 0.0000 0.5000  2 N 1.92

Output
SG = P4/mmm, No. 123
Raw total energy = -36.80 eV per formula unit

No. 3
ZnCrHgN2: optimized geometry, PBE.

abc: 3.6907 5.6142 3.6907
angles: 90.00 90.00 90.00
With the nearest neighbours (Å) after each atom.
Positions (direct):
1 N 0.0000 0.0000 0.5000  2 Cr 1.85
2 Hg 0.0000 0.5000 0.0000  4 Zn 2.61, 2 Cr 2.81
3 N 0.5000 0.0000 0.0000  2 Cr 1.85
4 Zn 0.5000 0.5000 0.5000  4 Hg 2.61
5 Cr 0.0000 0.0000 0.0000  4 N 1.85

Output
SG = P4/mmm, No. 123
Raw total energy = -24.72 eV per formula unit